# Ac3MgPd8 (PBE-GGA, relaxed)
data_Ac3MgPd8
_chemical_formula_sum 'Ac9 Mg3 Pd24'
_space_group_name_H-M_alt 'R 3 m'
_space_group_IT_number 160
_space_group_name_Hall 'R 3 -2"'
_cell_length_a 5.6131
_cell_length_b 5.6131
_cell_length_c 27.4004
_cell_angle_alpha 90.00
_cell_angle_beta 90.00
_cell_angle_gamma 120.00
loop_
_atom_site_label
_atom_site_fract_x
_atom_site_fract_y
_atom_site_fract_z
_atom_site_occupancy
Ac1 0.0000 0.0000 0.0000 1
Ac2 0.0000 0.0000 0.1294 1
Ac3 0.0000 0.0000 0.6119 1
Mg1 0.0000 0.0000 0.4857 1
Pd1 0.0000 0.0000 0.3106 1
Pd2 0.0000 0.0000 0.8110 1
Pd3 0.0008 0.5004 0.0615 1
Pd4 0.0022 0.5011 0.5598 1
# ΔH_f (0 K): -727 meV per atom
# crystal system: trigonal
# uncorrected energy: -0.1966 Ha/atom
# DOS(E_F): 15.0 states/eV per cell
# calculated density: 10.4 Mg/m³